## Sn2H5Ir (GGA-PBE)

Data for an optimized crystal structure of Sn2H5Ir.

The structure in POSCAR format:
```
Sn2H5Ir
1.0
4.452 0.899 -1.100
0.411 6.531 -2.211
-0.914 -1.907 4.219
Sn H Ir
2 5 1
Direct
0.287 0.760 0.372
0.829 0.283 0.673
0.164 0.259 0.309
0.314 0.845 0.981
0.609 0.167 0.947
0.841 0.698 0.436
0.789 0.786 0.911
0.943 0.979 0.924
```

Total DFT energy (no corrections) = -33.2 eV per cell
V = 12.31 A^3/atom
Symmetry = P1 (1)